No. 1
ErMgPb2 PBE-GGA relaxed; M_tot = 0.000 μB/atom; energy relative to the elements = -143 meV per atom
1.0
4.618 0.000 0.000
-2.309 3.999 0.000
0.000 0.000 19.398
Er Mg Pb
3 3 6
Direct
0.000 0.000 0.000
0.333 0.667 0.667
0.667 0.333 0.333
0.000 0.000 0.820
0.333 0.667 0.486
0.667 0.333 0.153
0.000 0.000 0.413
0.000 0.000 0.575
0.333 0.667 0.080
0.333 0.667 0.241
0.667 0.333 0.747
0.667 0.333 0.908

***

No. 2
Pr3NiBr3 PBE-GGA relaxed; M_tot = 0.000 μB/atom; energy relative to the elements, uncorrected = -1.226 eV per atom
1.0
-6.017 6.017 6.017
6.017 -6.017 6.017
6.017 6.017 -6.017
Pr Ni Br
12 4 12
Direct
0.016 0.032 0.266
0.016 0.484 0.750
0.032 0.266 0.016
0.234 0.266 0.750
0.234 0.468 0.484
0.266 0.016 0.032
0.266 0.750 0.234
0.468 0.484 0.234
0.484 0.234 0.468
0.484 0.750 0.016
0.750 0.016 0.484
0.750 0.234 0.266
0.000 0.250 0.500
0.250 0.250 0.250
0.250 0.500 0.000
0.500 0.000 0.250
0.250 0.757 0.743
0.250 0.993 0.507
0.507 0.250 0.993
0.507 0.757 0.513
0.513 0.507 0.757
0.743 0.250 0.757
0.743 0.993 0.987
0.757 0.513 0.507
0.757 0.743 0.250
0.987 0.743 0.993
0.993 0.507 0.250
0.993 0.987 0.743

***

No. 3
TcTePb2 PBE-GGA relaxed; M_tot = 0.000 μB/atom; energy relative to the elements, uncorrected = 0.213 eV per atom
1.0
9.367 0.000 0.000
0.000 3.422 0.000
-2.567 0.000 6.774
Tc Te Pb
2 2 4
Direct
0.000 0.000 0.000
0.500 0.500 0.000
0.293 0.000 0.023
0.793 0.500 0.023
0.131 0.500 0.357
0.446 0.000 0.660
0.631 0.000 0.357
0.946 0.500 0.660

***

No. 4
DyZnGaSn PBE-GGA relaxed; M_tot = 0.000 μB/atom; energy relative to the elements = -454 meV per atom
1.0
4.342 0.000 0.000
0.000 4.345 0.000
0.000 0.000 4.501
Dy Zn Ga Sn
1 1 1 1
Direct
0.000 0.000 0.000
0.000 0.500 0.500
0.500 0.500 0.000
0.500 0.000 0.500

***

No. 5
NdZrTeO6 PBE-GGA relaxed; M_tot = 0.000 μB/atom; energy relative to the elements, uncorrected = -2.374 eV per atom
1.0
5.536 0.000 0.000
-2.768 4.794 0.000
0.000 0.000 10.092
Nd Zr Te O
2 2 2 12
Direct
0.000 0.000 0.000
0.000 0.000 0.500
0.333 0.667 0.250
0.667 0.333 0.750
0.333 0.667 0.750
0.667 0.333 0.250
0.009 0.363 0.639
0.009 0.646 0.861
0.354 0.363 0.861
0.354 0.991 0.639
0.363 0.009 0.139
0.363 0.354 0.361
0.637 0.646 0.639
0.637 0.991 0.861
0.646 0.009 0.361
0.646 0.637 0.139
0.991 0.354 0.139
0.991 0.637 0.361

***

No. 6
Hf2TaCoH PBE-GGA relaxed; M_tot = 0.000 μB/atom; energy = -8.54 eV/atom
1.0
4.600 0.000 0.000
0.000 4.600 0.000
0.000 0.000 3.451
Hf Ta Co H
2 1 1 1
Direct
0.000 0.500 0.000
0.500 0.000 0.000
0.000 0.000 0.500
0.500 0.500 0.500
0.500 0.500 0.000

***

No. 7
InGaGe2 PBE-GGA relaxed; M_tot = 0.000 μB/atom; energy relative to the elements = 198 meV per atom
1.0
4.390 0.000 0.000
0.000 4.390 0.000
0.000 0.000 4.423
In Ga Ge
1 1 2
Direct
0.000 0.000 0.000
0.500 0.500 0.000
0.000 0.500 0.500
0.500 0.000 0.500

***

No. 8
Ba4NaTlHg2 PBE-GGA relaxed; M_tot = 0.000 μB/atom; energy relative to the elements = -366 meV per atom
1.0
3.047 1.759 9.962
-3.047 1.759 9.962
0.000 -3.518 9.962
Ba Na Tl Hg
4 1 1 2
Direct
0.119 0.119 0.119
0.369 0.369 0.369
0.631 0.631 0.631
0.881 0.881 0.881
0.500 0.500 0.500
0.000 0.000 0.000
0.244 0.244 0.244
0.756 0.756 0.756

***

No. 9
Dy2YGa9 PBE-GGA relaxed; M_tot = 0.000 μB/atom; energy relative to the elements = -537 meV per atom
1.0
4.276 0.000 0.000
0.000 4.276 0.000
0.000 0.000 12.823
Dy Y Ga
2 1 9
Direct
0.000 0.000 0.166
0.000 0.000 0.834
0.000 0.000 0.500
0.000 0.500 0.000
0.000 0.500 0.333
0.000 0.500 0.667
0.500 0.000 0.000
0.500 0.000 0.333
0.500 0.000 0.667
0.500 0.500 0.167
0.500 0.500 0.500
0.500 0.500 0.833

***

No. 10
CaIn2Hg2 PBE-GGA relaxed; M_tot = 0.000 μB/atom; energy relative to the elements = -166 meV per atom
1.0
8.495 0.000 0.000
0.000 8.495 0.000
0.000 0.000 3.755
Ca In Hg
2 4 4
Direct
0.000 0.000 0.000
0.500 0.500 0.000
0.128 0.372 0.000
0.372 0.872 0.000
0.628 0.128 0.000
0.872 0.628 0.000
0.172 0.672 0.500
0.328 0.172 0.500
0.672 0.828 0.500
0.828 0.328 0.500

***

No. 11
TbNd5Bi4 PBE-GGA relaxed; M_tot = 0.000 μB/atom; energy relative to the elements = -560 meV per atom
1.0
9.759 -2.249 0.000
9.759 2.249 0.000
-2.377 0.000 8.451
Tb Nd Bi
1 5 4
Direct
0.000 0.000 0.000
0.000 0.000 0.500
0.323 0.323 0.648
0.336 0.336 0.179
0.664 0.664 0.821
0.677 0.677 0.352
0.168 0.168 0.085
0.492 0.492 0.748
0.508 0.508 0.252
0.832 0.832 0.915

***

No. 12
Mg3Rh PBE-GGA relaxed; M_tot = 0.000 μB/atom; energy relative to the elements = -347 meV per atom
1.0
7.399 0.000 0.000
0.000 8.053 0.000
0.000 0.000 5.222
Mg Rh
12 4
Direct
0.026 0.250 0.095
0.171 0.062 0.609
0.171 0.438 0.609
0.329 0.562 0.109
0.329 0.938 0.109
0.474 0.750 0.595
0.526 0.250 0.405
0.671 0.062 0.891
0.671 0.438 0.891
0.829 0.562 0.391
0.829 0.938 0.391
0.974 0.750 0.905
0.129 0.750 0.422
0.371 0.250 0.922
0.629 0.750 0.078
0.871 0.250 0.578